(1)
This record from Alexandria via LeMat-Bulk describes a relaxed SrCa2AsN crystal. The functional is PBE.

Unit cell a=4.797 b=4.797 c=5.101 alpha=90.00 beta=90.00 gamma=90.00
Fractional coordinates of all 5 atoms:
Sr 0.000 0.000 0.000
Ca 0.000 0.500 0.500
Ca 0.500 0.000 0.500
As 0.500 0.500 0.000
N 0.000 0.000 0.500

Summary:
For the total DFT energy (no corrections), the calculation gives -4.74 eV per atom.

---

(2)
This record from Alexandria via LeMat-Bulk describes a relaxed HfCoH2 crystal. The functional is PBE.

Unit cell a=5.251 b=5.251 c=5.251 alpha=90.00 beta=90.00 gamma=90.00
Fractional coordinates of all 16 atoms:
Hf 0.000 0.000 0.000
Hf 0.000 0.500 0.500
Hf 0.500 0.000 0.500
Hf 0.500 0.500 0.000
Co 0.000 0.000 0.500
Co 0.000 0.500 0.000
Co 0.500 0.000 0.000
Co 0.500 0.500 0.500
H 0.250 0.250 0.250
H 0.250 0.250 0.750
H 0.250 0.750 0.250
H 0.250 0.750 0.750
H 0.750 0.250 0.250
H 0.750 0.250 0.750
H 0.750 0.750 0.250
H 0.750 0.750 0.750

Summary:
The energy above the lowest structure with this stoichiometry comes out at 398 meV/atom.

---

(3)
This record from Alexandria via LeMat-Bulk describes a relaxed Pm6Ho2Mg crystal. The functional is PBE.

Unit cell a=8.647 b=8.647 c=8.849 alpha=93.32 beta=93.32 gamma=63.15
Fractional coordinates of all 18 atoms:
Pm 0.102 0.715 0.875
Pm 0.106 0.611 0.489
Pm 0.285 0.898 0.625
Pm 0.334 0.460 0.149
Pm 0.389 0.894 0.011
Pm 0.460 0.334 0.649
Pm 0.540 0.666 0.351
Pm 0.611 0.106 0.989
Pm 0.666 0.540 0.851
Pm 0.715 0.102 0.375
Pm 0.894 0.389 0.511
Pm 0.898 0.285 0.125
Ho 0.142 0.301 0.840
Ho 0.301 0.142 0.340
Ho 0.699 0.858 0.660
Ho 0.858 0.699 0.160
Mg 0.109 0.891 0.250
Mg 0.891 0.109 0.750

Summary:
The energy above the lowest structure with this stoichiometry comes out at 112 meV/atom. The calculated formation energy is 0.1337 eV per atom.

---

(4)
This record from Alexandria via LeMat-Bulk describes a relaxed CaPr8Dy2 crystal. The functional is PBE.

Unit cell a=9.617 b=9.617 c=9.617 alpha=145.25 beta=126.91 gamma=65.03
Fractional coordinates of all 11 atoms:
Ca 0.000 0.000 0.000
Pr 0.156 0.857 0.299
Pr 0.161 0.661 0.500
Pr 0.307 0.500 0.807
Pr 0.442 0.143 0.299
Pr 0.558 0.857 0.701
Pr 0.693 0.500 0.193
Pr 0.839 0.339 0.500
Pr 0.844 0.143 0.701
Dy 0.298 0.298 0.000
Dy 0.702 0.702 0.000

Summary:
The calculated formation energy is 0.1385 eV per atom.

---

Number 1: total moment 0.00 μB/f.u.. Number 2: total moment 0.98 μB/f.u.. Number 3: total moment 0.00 μB/f.u.. Number 4: total moment 0.00 μB/f.u..